(1)
A plane-wave DFT calculation with GGA-PBE was carried out for an optimized crystal structure of DyInIr2.

## Properties
* DFT formation energy: -532 meV/atom

Cell lengths 4.4704, 4.4704, 3.6771 Å; angles 90.00, 90.00, 90.00 degrees
Space group P4/mmm (No. 123)
Asymmetric unit:
Dy1 0.0000 0.0000 0.0000 [1 per cell]
In1 0.5000 0.5000 0.0000 [1 per cell]
Ir1 0.0000 0.5000 0.5000 [2 per cell]

(2)
A plane-wave DFT calculation with GGA-PBE was carried out for an optimized crystal structure of Ge3AsW.

## Properties
* ΔE to the lowest computed polymorph: 916 meV/atom
* DFT formation energy: 1656 meV/atom

Cell lengths 4.7865, 4.7865, 4.7865 Å; angles 90.00, 90.00, 90.00 degrees
Space group Pm-3m (No. 221)
Asymmetric unit:
Ge1 0.0000 0.0000 0.5000 [3 per cell]
As1 0.0000 0.0000 0.0000 [1 per cell]
W1 0.5000 0.5000 0.5000 [1 per cell]

(3)
A plane-wave DFT calculation with GGA-PBE was carried out for an optimized crystal structure of Rb3AlI6.

## Properties
* ΔE to the lowest computed polymorph: 0 meV/atom

Cell lengths 14.8921, 17.5011, 8.8584 Å; angles 90.00, 90.00, 90.00 degrees
Space group Cmc2_1 (No. 36)
Asymmetric unit:
Rb1 0.0000 0.0635 0.0000 [4 per cell]
Rb2 0.2026 0.4021 0.1067 [8 per cell]
Al1 0.0000 0.3085 0.7180 [4 per cell]
I1 0.0000 0.3080 0.4300 [4 per cell]
I2 0.0000 0.4462 0.8246 [4 per cell]
I3 0.1384 0.2392 0.8269 [8 per cell]
I4 0.1694 0.0439 0.2900 [8 per cell]

(4)
A plane-wave DFT calculation with GGA-PBE was carried out for an optimized crystal structure of Sr3Cu2GeO6.

## Properties
* calculated total energy: -5.675 eV/atom

Cell lengths 5.7123, 5.7123, 6.3085 Å; angles 90.00, 90.00, 120.00 degrees
Space group P-3m1 (No. 164)
Asymmetric unit:
Sr1 0.0000 0.0000 0.0000 [1 per cell]
Sr2 0.3333 0.6667 0.6353 [2 per cell]
Cu1 0.3333 0.6667 0.1703 [2 per cell]
Ge1 0.0000 0.0000 0.5000 [1 per cell]
O1 0.1590 0.3181 0.3195 [6 per cell]

Which spin magnetization belongs to each record? In order, 0.00 0.00 0.00 0.00 Bohr magnetons per cell.
Which DOS at the Fermi energy belongs to each record? In order, 0.16 1.24 0.00 0.47 states/eV per atom.